# 1
# Er7Pt2Pb2

A relaxed structure of Er7Pt2Pb2 (PBE, the Alexandria database).

Cell: 8.388 10.904 7.090 Å, 90.00 90.00 90.00°
Space group Cmmm (No. 65)
Asymmetric unit:
Er 0.000 0.000 0.000 (multiplicity 2)
Er 0.000 0.500 0.234 (multiplicity 4)
Er 0.250 0.250 0.245 (multiplicity 8)
Pt 0.000 0.284 0.000 (multiplicity 4)
Pb 0.188 0.000 0.500 (multiplicity 4)

Computed properties:
Calculated formation energy in eV per atom: -0.5701
Distance to the lowest polymorph of the same formula in eV per atom: 0.1418
Density in Mg/m³: 10.12

---

# 2
# RuW3N

A relaxed structure of RuW3N (PBE, the Alexandria database).

Cell: 4.672 4.672 4.672 Å, 90.00 90.00 90.00°
Space group Pm-3m (No. 221)
Asymmetric unit:
Ru 0.000 0.000 0.000 (multiplicity 1)
W 0.000 0.000 0.500 (multiplicity 3)
N 0.500 0.500 0.500 (multiplicity 1)

Computed properties:
Distance to the lowest polymorph of the same formula in eV per atom: 3.0131
Density in Mg/m³: 10.85

---

# 3
# AcInSi2O8

A relaxed structure of AcInSi2O8 (PBE, the Alexandria database).

Cell: 5.4080 5.4080 7.2785 Å, 90.00 90.00 120.00°
Space group P-3m1 (No. 164)
Asymmetric unit:
Ac 0.0000 0.0000 0.0000 (multiplicity 1)
In 0.0000 0.0000 0.5000 (multiplicity 1)
Si 0.3333 0.6667 0.7643 (multiplicity 2)
O 0.1665 0.3330 0.7030 (multiplicity 6)
O 0.3333 0.6667 0.9919 (multiplicity 2)

Computed properties:
Density in Mg/m³: 4.74
E in eV for the cell shown: -84.42

---

# 4
# LiZr2InPd

A relaxed structure of LiZr2InPd (PBE, the Alexandria database).

Cell: 5.318 5.318 4.446 Å, 90.00 90.00 90.00°
Space group P4/mmm (No. 123)
Asymmetric unit:
Li 0.000 0.000 0.000 (multiplicity 1)
Zr 0.000 0.500 0.500 (multiplicity 2)
In 0.000 0.000 0.500 (multiplicity 1)
Pd 0.500 0.500 0.000 (multiplicity 1)

Computed properties:
Calculated formation energy in eV per atom: 0.8227
Distance to the lowest polymorph of the same formula in eV per atom: 0.6747
Density in Mg/m³: 5.42

---

# 5
# KBiPb2

A relaxed structure of KBiPb2 (PBE, the Alexandria database).

Cell: 4.352 4.352 7.751 Å, 90.00 90.00 90.00°
Space group P4/mmm (No. 123)
Asymmetric unit:
K 0.000 0.000 0.000 (multiplicity 1)
Bi 0.000 0.000 0.500 (multiplicity 1)
Pb 0.500 0.500 0.306 (multiplicity 2)

Computed properties:
Calculated formation energy in eV per atom: -0.1176
Density in Mg/m³: 7.49

---

# 6
# Te2OsAu

A relaxed structure of Te2OsAu (PBE, the Alexandria database).

Cell: 6.148 6.148 12.084 Å, 90.00 90.00 90.00°
Space group I-42d (No. 122)
Asymmetric unit:
Te 0.221 0.250 0.125 (multiplicity 8)
Os 0.000 0.000 0.000 (multiplicity 4)
Au 0.000 0.000 0.500 (multiplicity 4)

Computed properties:
Distance to the lowest polymorph of the same formula in eV per atom: 0.2112
Density in Mg/m³: 9.34